# 1
The following is a PBE calculation of a relaxed Ac3CrN5 crystal, from Alexandria.

Values from the calculation:
V   16.34 Å³/atom
Raw total energy   -8.178 eV/atom
M_tot   0.0 μB/f.u.
Energy relative to the elements, uncorrected   -1115 meV per atom
Space-group type   I4/mcm (140)

Structure (CIF):
```
data_Ac3CrN5
_chemical_formula_sum 'Ac6 Cr2 N10'
_cell_length_a 7.665
_cell_length_b 7.665
_cell_length_c 7.665
_cell_angle_alpha 124.45
_cell_angle_beta 124.45
_cell_angle_gamma 82.45
_space_group_name_H-M_alt 'P 1'
_space_group_IT_number 1
loop_
_space_group_symop_operation_xyz
'x,y,z'
loop_
_atom_site_label
_atom_site_type_symbol
_atom_site_fract_x
_atom_site_fract_y
_atom_site_fract_z
_atom_site_occupancy
Ac1 Ac 0.176 0.676 0.851 1
Ac2 Ac 0.250 0.250 0.000 1
Ac3 Ac 0.324 0.176 0.500 1
Ac4 Ac 0.676 0.824 0.500 1
Ac5 Ac 0.750 0.750 0.000 1
Ac6 Ac 0.824 0.324 0.149 1
Cr1 Cr 0.250 0.750 0.500 1
Cr2 Cr 0.750 0.250 0.500 1
N1 N 0.000 0.000 0.000 1
N2 N 0.020 0.797 0.500 1
N3 N 0.203 0.703 0.224 1
N4 N 0.297 0.520 0.500 1
N5 N 0.480 0.980 0.776 1
N6 N 0.500 0.500 0.000 1
N7 N 0.520 0.020 0.224 1
N8 N 0.703 0.480 0.500 1
N9 N 0.797 0.297 0.776 1
N10 N 0.980 0.203 0.500 1
```


# 2
The following is a PBE calculation of a relaxed AcCrN2 crystal, from Alexandria.

Values from the calculation:
V   13.84 Å³/atom
Raw total energy   -8.039 eV/atom
M_tot   2.7 μB/f.u.
Energy relative to the elements, uncorrected   -444 meV per atom
Space-group type   R-3m (166)

Structure (CIF):
```
data_AcCrN2
_chemical_formula_sum 'Ac1 Cr1 N2'
_cell_length_a 5.810
_cell_length_b 5.810
_cell_length_c 5.810
_cell_angle_alpha 34.23
_cell_angle_beta 34.23
_cell_angle_gamma 34.23
_space_group_name_H-M_alt 'P 1'
_space_group_IT_number 1
loop_
_space_group_symop_operation_xyz
'x,y,z'
loop_
_atom_site_label
_atom_site_type_symbol
_atom_site_fract_x
_atom_site_fract_y
_atom_site_fract_z
_atom_site_occupancy
Ac1 Ac 0.000 0.000 0.000 1
Cr1 Cr 0.500 0.500 0.500 1
N1 N 0.229 0.229 0.229 1
N2 N 0.771 0.771 0.771 1
```


# 3
The following is a PBE calculation of a relaxed Ac3Cr2N7 crystal, from Alexandria.

Values from the calculation:
V   13.70 Å³/atom
Raw total energy   -8.103 eV/atom
M_tot   0.0 μB/f.u.
Energy relative to the elements, uncorrected   -615 meV per atom
Space-group type   Cmmm (65)

Structure (CIF):
```
data_Ac3Cr2N7
_chemical_formula_sum 'Ac3 Cr2 N7'
_cell_length_a 11.228
_cell_length_b 11.228
_cell_length_c 3.782
_cell_angle_alpha 90.00
_cell_angle_beta 90.00
_cell_angle_gamma 159.82
_space_group_name_H-M_alt 'P 1'
_space_group_IT_number 1
loop_
_space_group_symop_operation_xyz
'x,y,z'
loop_
_atom_site_label
_atom_site_type_symbol
_atom_site_fract_x
_atom_site_fract_y
_atom_site_fract_z
_atom_site_occupancy
Ac1 Ac 0.000 0.000 0.000 1
Ac2 Ac 0.174 0.826 0.000 1
Ac3 Ac 0.826 0.174 0.000 1
Cr1 Cr 0.406 0.594 0.500 1
Cr2 Cr 0.594 0.406 0.500 1
N1 N 0.092 0.908 0.500 1
N2 N 0.317 0.683 0.500 1
N3 N 0.408 0.592 0.000 1
N4 N 0.500 0.500 0.500 1
N5 N 0.592 0.408 0.000 1
N6 N 0.683 0.317 0.500 1
N7 N 0.908 0.092 0.500 1
```


# 4
The following is a PBE calculation of a relaxed NaAc2CrN4 crystal, from Alexandria.

Values from the calculation:
V   18.55 Å³/atom
Raw total energy   -7.303 eV/atom
M_tot   0.8 μB/f.u.
Energy relative to the elements, uncorrected   -745 meV per atom
Space-group type   Fmm2 (42)

Structure (CIF):
```
data_NaAc2CrN4
_chemical_formula_sum 'Na1 Ac2 Cr1 N4'
_cell_length_a 5.936
_cell_length_b 5.920
_cell_length_c 5.973
_cell_angle_alpha 59.88
_cell_angle_beta 59.61
_cell_angle_gamma 60.50
_space_group_name_H-M_alt 'P 1'
_space_group_IT_number 1
loop_
_space_group_symop_operation_xyz
'x,y,z'
loop_
_atom_site_label
_atom_site_type_symbol
_atom_site_fract_x
_atom_site_fract_y
_atom_site_fract_z
_atom_site_occupancy
Na1 Na 0.000 0.000 0.000 1
Ac1 Ac 0.251 0.251 0.249 1
Ac2 Ac 0.751 0.751 0.749 1
Cr1 Cr 0.502 0.502 0.498 1
N1 N 0.210 0.583 0.417 1
N2 N 0.421 0.795 0.579 1
N3 N 0.583 0.210 0.790 1
N4 N 0.795 0.421 0.205 1
```


# 5
The following is a PBE calculation of a relaxed Na2AcCrN4 crystal, from Alexandria.

Values from the calculation:
V   16.86 Å³/atom
Raw total energy   -6.666 eV/atom
M_tot   1.0 μB/f.u.
Energy relative to the elements, uncorrected   -457 meV per atom
Space-group type   Pmn2_1 (31)

Structure (CIF):
```
data_Na2AcCrN4
_chemical_formula_sum 'Na4 Ac2 Cr2 N8'
_cell_length_a 6.882
_cell_length_b 6.829
_cell_length_c 5.740
_cell_angle_alpha 90.00
_cell_angle_beta 90.00
_cell_angle_gamma 90.00
_space_group_name_H-M_alt 'P 1'
_space_group_IT_number 1
loop_
_space_group_symop_operation_xyz
'x,y,z'
loop_
_atom_site_label
_atom_site_type_symbol
_atom_site_fract_x
_atom_site_fract_y
_atom_site_fract_z
_atom_site_occupancy
Na1 Na 0.232 0.123 0.000 1
Na2 Na 0.268 0.877 0.500 1
Na3 Na 0.732 0.877 0.500 1
Na4 Na 0.768 0.123 0.000 1
Ac1 Ac 0.000 0.419 0.488 1
Ac2 Ac 0.500 0.581 0.988 1
Cr1 Cr 0.000 0.686 0.007 1
Cr2 Cr 0.500 0.314 0.507 1
N1 N 0.000 0.429 0.982 1
N2 N 0.000 0.739 0.302 1
N3 N 0.211 0.784 0.888 1
N4 N 0.289 0.216 0.388 1
N5 N 0.500 0.261 0.802 1
N6 N 0.500 0.571 0.482 1
N7 N 0.711 0.216 0.388 1
N8 N 0.789 0.784 0.888 1
```


# 6
The following is a PBE calculation of a relaxed NaAcCrN3 crystal, from Alexandria.

Values from the calculation:
V   13.71 Å³/atom
Raw total energy   -7.283 eV/atom
M_tot   0.0 μB/f.u.
Energy relative to the elements, uncorrected   -612 meV per atom
Space-group type   C2/c (15)

Structure (CIF):
```
data_NaAcCrN3
_chemical_formula_sum 'Na2 Ac2 Cr2 N6'
_cell_length_a 6.186
_cell_length_b 6.186
_cell_length_c 5.289
_cell_angle_alpha 95.91
_cell_angle_beta 95.91
_cell_angle_gamma 123.62
_space_group_name_H-M_alt 'P 1'
_space_group_IT_number 1
loop_
_space_group_symop_operation_xyz
'x,y,z'
loop_
_atom_site_label
_atom_site_type_symbol
_atom_site_fract_x
_atom_site_fract_y
_atom_site_fract_z
_atom_site_occupancy
Na1 Na 0.066 0.934 0.750 1
Na2 Na 0.934 0.066 0.250 1
Ac1 Ac 0.242 0.758 0.250 1
Ac2 Ac 0.758 0.242 0.750 1
Cr1 Cr 0.459 0.541 0.750 1
Cr2 Cr 0.541 0.459 0.250 1
N1 N 0.242 0.350 0.031 1
N2 N 0.289 0.711 0.750 1
N3 N 0.350 0.242 0.531 1
N4 N 0.650 0.758 0.469 1
N5 N 0.711 0.289 0.250 1
N6 N 0.758 0.650 0.969 1
```


# 7
The following is a PBE calculation of a relaxed Na2AcCr2N4 crystal, from Alexandria.

Values from the calculation:
V   15.92 Å³/atom
Raw total energy   -7.096 eV/atom
M_tot   1.0 μB/f.u.
Energy relative to the elements, uncorrected   -507 meV per atom
Space-group type   C2/m (12)

Structure (CIF):
```
data_Na2AcCr2N4
_chemical_formula_sum 'Na2 Ac1 Cr2 N4'
_cell_length_a 6.019
_cell_length_b 6.019
_cell_length_c 8.844
_cell_angle_alpha 123.57
_cell_angle_beta 123.57
_cell_angle_gamma 33.20
_space_group_name_H-M_alt 'P 1'
_space_group_IT_number 1
loop_
_space_group_symop_operation_xyz
'x,y,z'
loop_
_atom_site_label
_atom_site_type_symbol
_atom_site_fract_x
_atom_site_fract_y
_atom_site_fract_z
_atom_site_occupancy
Na1 Na 0.124 0.124 0.212 1
Na2 Na 0.876 0.876 0.788 1
Ac1 Ac 0.000 0.000 0.500 1
Cr1 Cr 0.333 0.333 0.117 1
Cr2 Cr 0.667 0.667 0.883 1
N1 N 0.233 0.233 0.852 1
N2 N 0.485 0.485 0.712 1
N3 N 0.515 0.515 0.288 1
N4 N 0.767 0.767 0.148 1
```


# 8
The following is a PBE calculation of a relaxed AcNd2CrN4 crystal, from Alexandria.

Values from the calculation:
V   16.42 Å³/atom
Raw total energy   -8.127 eV/atom
M_tot   2.1 μB/f.u.
Energy relative to the elements, uncorrected   -1055 meV per atom
Space-group type   Cmcm (63)

Structure (CIF):
```
data_AcNd2CrN4
_chemical_formula_sum 'Ac2 Nd4 Cr2 N8'
_cell_length_a 6.331
_cell_length_b 6.331
_cell_length_c 12.139
_cell_angle_alpha 90.00
_cell_angle_beta 90.00
_cell_angle_gamma 147.30
_space_group_name_H-M_alt 'P 1'
_space_group_IT_number 1
loop_
_space_group_symop_operation_xyz
'x,y,z'
loop_
_atom_site_label
_atom_site_type_symbol
_atom_site_fract_x
_atom_site_fract_y
_atom_site_fract_z
_atom_site_occupancy
Ac1 Ac 0.093 0.907 0.750 1
Ac2 Ac 0.907 0.093 0.250 1
Nd1 Nd 0.368 0.632 0.544 1
Nd2 Nd 0.368 0.632 0.956 1
Nd3 Nd 0.632 0.368 0.044 1
Nd4 Nd 0.632 0.368 0.456 1
Cr1 Cr 0.173 0.827 0.250 1
Cr2 Cr 0.827 0.173 0.750 1
N1 N 0.000 0.000 0.000 1
N2 N 0.000 0.000 0.500 1
N3 N 0.266 0.734 0.132 1
N4 N 0.266 0.734 0.368 1
N5 N 0.408 0.592 0.750 1
N6 N 0.592 0.408 0.250 1
N7 N 0.734 0.266 0.632 1
N8 N 0.734 0.266 0.868 1
```


# 9
The following is a PBE calculation of a relaxed Ac2NdCrN4 crystal, from Alexandria.

Values from the calculation:
V   19.09 Å³/atom
Raw total energy   -7.823 eV/atom
M_tot   2.7 μB/f.u.
Energy relative to the elements, uncorrected   -834 meV per atom
Space-group type   Cmcm (63)

Structure (CIF):
```
data_Ac2NdCrN4
_chemical_formula_sum 'Ac4 Nd2 Cr2 N8'
_cell_length_a 6.810
_cell_length_b 6.810
_cell_length_c 12.737
_cell_angle_alpha 90.00
_cell_angle_beta 90.00
_cell_angle_gamma 148.87
_space_group_name_H-M_alt 'P 1'
_space_group_IT_number 1
loop_
_space_group_symop_operation_xyz
'x,y,z'
loop_
_atom_site_label
_atom_site_type_symbol
_atom_site_fract_x
_atom_site_fract_y
_atom_site_fract_z
_atom_site_occupancy
Ac1 Ac 0.129 0.871 0.540 1
Ac2 Ac 0.129 0.871 0.960 1
Ac3 Ac 0.871 0.129 0.040 1
Ac4 Ac 0.871 0.129 0.460 1
Nd1 Nd 0.358 0.642 0.750 1
Nd2 Nd 0.642 0.358 0.250 1
Cr1 Cr 0.321 0.679 0.250 1
Cr2 Cr 0.679 0.321 0.750 1
N1 N 0.132 0.868 0.750 1
N2 N 0.223 0.777 0.139 1
N3 N 0.223 0.777 0.361 1
N4 N 0.500 0.500 0.000 1
N5 N 0.500 0.500 0.500 1
N6 N 0.777 0.223 0.639 1
N7 N 0.777 0.223 0.861 1
N8 N 0.868 0.132 0.250 1
```


# 10
The following is a PBE calculation of a relaxed Ac2CrP2N6 crystal, from Alexandria.

Values from the calculation:
V   12.87 Å³/atom
Raw total energy   -7.985 eV/atom
M_tot   2.0 μB/f.u.
Energy relative to the elements, uncorrected   -839 meV per atom
Space-group type   R-3m (166)

Structure (CIF):
```
data_Ac2CrP2N6
_chemical_formula_sum 'Ac2 Cr1 P2 N6'
_cell_length_a 6.179
_cell_length_b 6.179
_cell_length_c 6.179
_cell_angle_alpha 53.54
_cell_angle_beta 53.54
_cell_angle_gamma 53.54
_space_group_name_H-M_alt 'P 1'
_space_group_IT_number 1
loop_
_space_group_symop_operation_xyz
'x,y,z'
loop_
_atom_site_label
_atom_site_type_symbol
_atom_site_fract_x
_atom_site_fract_y
_atom_site_fract_z
_atom_site_occupancy
Ac1 Ac 0.232 0.232 0.232 1
Ac2 Ac 0.768 0.768 0.768 1
Cr1 Cr 0.000 0.000 0.000 1
P1 P 0.432 0.432 0.432 1
P2 P 0.568 0.568 0.568 1
N1 N 0.245 0.245 0.741 1
N2 N 0.245 0.741 0.245 1
N3 N 0.259 0.755 0.755 1
N4 N 0.741 0.245 0.245 1
N5 N 0.755 0.259 0.755 1
N6 N 0.755 0.755 0.259 1
```